Record 1
Sr2Li3Cd after structural relaxation, computed with GGA-PBE.

Structure (POSCAR):
```
Sr2Li3Cd
1.0
-4.354 -2.901 -3.552
6.157 -1.205 -0.790
0.540 -1.527 6.155
Li Sr Cd
3 2 1
direct
0.500 0.500 0.500
0.500 0.000 0.500
0.000 0.000 0.500
0.253 0.625 0.878
0.747 0.375 0.122
0.000 0.000 0.000
```

Calculated values
total DFT energy (no corrections): -1.775 eV/atom
energy relative to the elements: -0.631 eV/f.u.
volume: 29.96 Å³/atom
density of states at the Fermi level: 5.06 states/eV per cell

Record 2
SrLi2Cd8 after structural relaxation, computed with GGA-PBE.

Structure (POSCAR):
```
SrLi2Cd8
1.0
-2.030 5.367 -1.275
-5.396 -2.215 -0.729
-1.909 1.530 9.481
Cd Sr Li
8 1 2
direct
0.752 0.248 0.787
0.248 0.752 0.787
0.248 0.248 0.787
0.248 0.752 0.213
0.248 0.248 0.213
0.752 0.752 0.787
0.752 0.752 0.213
0.752 0.248 0.213
0.500 0.500 0.500
0.500 0.000 0.000
0.000 0.500 0.000
```

Calculated values
total DFT energy (no corrections): -1.121 eV/atom
energy relative to the elements: 0.496 eV/f.u.
volume: 30.76 Å³/atom
density of states at the Fermi level: 4.33 states/eV per cell

Record 3
SrLi3Cd2 after structural relaxation, computed with GGA-PBE.

Structure (POSCAR):
```
SrLi3Cd2
1.0
4.788 0.000 0.000
0.000 9.032 -5.215
0.000 0.000 10.429
Cd Li Sr
6 9 3
direct
0.500 0.374 0.187
0.500 0.187 0.813
0.500 0.813 0.187
0.500 0.626 0.813
0.500 0.813 0.626
0.500 0.187 0.374
0.500 0.500 0.000
0.000 0.000 0.704
0.500 0.000 0.500
0.000 0.704 0.704
0.000 0.704 0.000
0.000 0.296 0.000
0.000 0.000 0.296
0.000 0.296 0.296
0.500 0.500 0.500
0.000 0.667 0.333
0.000 0.333 0.667
0.500 0.000 0.000
```

Calculated values
E above lowest polymorph: 0.0 meV per atom
total DFT energy (no corrections): -1.746 eV/atom
energy relative to the elements: -1.222 eV/f.u.
volume: 25.06 Å³/atom
density of states at the Fermi level: 7.95 states/eV per cell

Q: density of states at the Fermi level of number 3 (SrLi3Cd2)?
A: 7.95 states/eV per cell

Q: Which value of volume does entry 1 give?
A: 29.96 Å³/atom

Copy entry 1 word for word.
Sr2Li3Cd after structural relaxation, computed with GGA-PBE.

Structure (POSCAR):
```
Sr2Li3Cd
1.0
-4.354 -2.901 -3.552
6.157 -1.205 -0.790
0.540 -1.527 6.155
Li Sr Cd
3 2 1
direct
0.500 0.500 0.500
0.500 0.000 0.500
0.000 0.000 0.500
0.253 0.625 0.878
0.747 0.375 0.122
0.000 0.000 0.000
```

Calculated values
total DFT energy (no corrections): -1.775 eV/atom
energy relative to the elements: -0.631 eV/f.u.
volume: 29.96 Å³/atom
density of states at the Fermi level: 5.06 states/eV per cell

Copy entry 2 word for word.
SrLi2Cd8 after structural relaxation, computed with GGA-PBE.

Structure (POSCAR):
```
SrLi2Cd8
1.0
-2.030 5.367 -1.275
-5.396 -2.215 -0.729
-1.909 1.530 9.481
Cd Sr Li
8 1 2
direct
0.752 0.248 0.787
0.248 0.752 0.787
0.248 0.248 0.787
0.248 0.752 0.213
0.248 0.248 0.213
0.752 0.752 0.787
0.752 0.752 0.213
0.752 0.248 0.213
0.500 0.500 0.500
0.500 0.000 0.000
0.000 0.500 0.000
```

Calculated values
total DFT energy (no corrections): -1.121 eV/atom
energy relative to the elements: 0.496 eV/f.u.
volume: 30.76 Å³/atom
density of states at the Fermi level: 4.33 states/eV per cell